1.
# Th4TcC2

Crystalline Th4TcC2 at its relaxed geometry (GGA-PBE, the Alexandria database).

* SG: Cmcm, No. 63
* DFT formation energy: -19.09 kJ per mole of atoms

The structure in extended XYZ format:
```
14
Lattice="-2.484 1.313 2.563 -0.472 -6.469 0.035 9.247 -0.625 9.282" Properties=species:S:1:pos:R:3 pbc="T T T"
Th -1.144 -2.615 3.052
Th 1.396 -2.787 5.602
Th 7.435 -3.167 8.828
Th 4.895 -2.995 6.278
Th 4.186 -4.925 9.400
Th 2.105 -0.857 2.479
Th -1.242 0.656 1.282
Th 3.382 0.344 5.922
Tc 5.323 -1.070 8.527
Tc 0.968 -4.712 3.352
C 3.605 -1.838 4.434
C 6.194 -4.182 10.965
C 0.097 -1.600 0.914
C 2.686 -3.944 7.445
```

***

2.
# ThTc2C

Crystalline ThTc2C at its relaxed geometry (GGA-PBE, the Alexandria database).

* SG: Cmcm, No. 63
* DFT formation energy: 15.39 kJ per mole of atoms

The structure in extended XYZ format:
```
8
Lattice="-2.684 1.199 1.043 1.823 -3.441 3.982 3.917 5.895 3.301" Properties=species:S:1:pos:R:3 pbc="T T T"
Th 0.054 -0.385 5.244
Th 3.002 4.039 3.082
Tc 2.564 1.446 4.938
Tc 0.493 2.207 3.388
Tc 3.961 3.549 6.115
Tc -0.904 0.105 2.211
C 1.889 3.284 5.751
C 1.167 0.369 2.575
```

***

Magnetic moment (computed, μB per atom): 0.00 0.00